1.
VASP calculation (PBE) on an optimized crystal structure of Tl12Bi6Sb.

Results
For the mass density, the calculation gives 10.1 g cm⁻³. As for the raw formation energy: 0.034 eV per atom. As for the total magnetization: 0.0 μB per formula unit. For the density of states at the Fermi level, the calculation gives 25.71 states/eV/cell. The calculated total energy is -2.90 eV/atom.

Unit cell a=12.0853 b=12.0853 c=14.9033 alpha=90.00 beta=90.00 gamma=120.00
Space group R-3 (No. 148, hexagonal axes)
One atom of each set of equivalent atoms:
Tl: 0.0378 0.1819 0.3106
Tl: 0.0662 0.8457 0.9148
Bi: 0.0320 0.4396 0.2040
Sb: 0.0000 0.0000 0.5000

---

2.
VASP calculation (PBE) on an optimized crystal structure of Tl6BiSb.

Results
For the mass density, the calculation gives 10.4 g cm⁻³. As for the raw formation energy: -0.014 eV per atom. As for the total magnetization: 0.0 μB per formula unit. For the density of states at the Fermi level, the calculation gives 2.82 states/eV/cell. The calculated total energy is -2.79 eV/atom.

Unit cell a=4.991 b=4.991 c=9.990 alpha=90.00 beta=90.00 gamma=90.00
Space group P4/mmm (No. 123)
One atom of each set of equivalent atoms:
Tl: 0.000 0.000 0.000
Tl: 0.000 0.000 0.500
Tl: 0.000 0.500 0.247
Bi: 0.500 0.500 0.500
Sb: 0.500 0.500 0.000